1.
Material: NiIrIO2
Method: DFT, PBE with a Hubbard U
State: relaxed

Cell lengths 3.686, 3.686, 7.110 Å; angles 90.00, 90.00, 90.00 degrees
Atoms (fractional coordinates):
Ni 0.000 0.000 0.000
Ir 0.500 0.500 0.500
I 0.000 0.000 0.500
O 0.000 0.500 0.000
O 0.500 0.000 0.000

Density of states at the Fermi level ... 0.9812 states/eV/atom
Space-group type ... P4/mmm (123)
Total DFT energy (no corrections) ... -3.8897 eV per atom



2.
Material: NiIrIO2
Method: DFT, PBE with a Hubbard U
State: relaxed

Cell lengths 3.713, 3.713, 8.329 Å; angles 90.00, 90.00, 90.00 degrees
Atoms (fractional coordinates):
Ni 0.000 0.000 0.000
Ir 0.500 0.500 0.500
I 0.500 0.500 0.000
O 0.000 0.500 0.500
O 0.500 0.000 0.500

Density of states at the Fermi level ... 1.0015 states/eV/atom
Space-group type ... P4/mmm (123)
Total DFT energy (no corrections) ... -4.5265 eV per atom



> Which of these has the highest density of states at the Fermi level?

number 2



> Among the records above, which one has the highest density of states at the Fermi level?

number 2



> Number 2 is which compound?

NiIrIO2



> Look up the total DFT energy (no corrections) of the first one.

-3.8897 eV per atom